Material: Pm2Ho2S3
Method: DFT, PBE
State: optimized geometry

```
7
Lattice="3.8808 0.0000 0.0000 -1.9346 6.4731 0.0000 -0.0016 -1.1150 6.7606" Properties=species:S:1:pos:R:3 pbc="T T T"
Pm 0.0054 1.1846 2.5782
Pm 1.9392 4.1735 4.1824
Ho 0.0032 4.6928 0.7834
Ho 1.9414 0.6653 5.9772
S 0.0000 0.0000 0.0000
S 0.0014 2.3820 5.1443
S 1.9432 2.9761 1.6163
```

## Properties
The calculation puts the raw total energy at -6.15 eV/atom. For the uncorrected formation energy, the calculation gives -1.72 eV/atom. The space-group type is P-1, No. 2.


Material: Pm3HoS4
Method: DFT, PBE
State: optimized geometry

```
16
Lattice="6.9640 0.0000 0.0000 0.0000 7.9351 0.0000 -2.2996 0.0000 6.5372" Properties=species:S:1:pos:R:3 pbc="T T T"
Pm -0.5749 0.9772 1.6343
Pm -1.7247 2.9655 4.9029
Pm -0.5749 4.9696 1.6343
Pm -1.7247 6.9579 4.9029
Pm 1.7573 0.9824 4.9029
Pm 2.9071 6.9528 1.6343
Ho 2.9071 2.9652 1.6343
Ho 1.7573 4.9699 4.9029
S 1.7649 1.0353 0.0344
S 0.6151 6.8998 3.3029
S 0.6597 3.0158 3.2663
S -0.4901 4.9193 6.5349
S 5.1545 3.0158 0.0023
S 4.0047 4.9193 3.2709
S 4.0493 1.0353 3.2342
S 2.8995 6.8998 6.5028
```

## Properties
The calculation puts the raw total energy at -6.44 eV/atom. For the uncorrected formation energy, the calculation gives -2.02 eV/atom. For the energy above the most stable polymorph in this dataset, the calculation gives 0.0000 eV per atom. The space-group type is P2/c, No. 13.


Material: PmHo4S6
Method: DFT, PBE
State: optimized geometry

```
22
Lattice="1.9245 -6.4057 0.0000 1.9245 6.4057 0.0000 0.0000 0.0000 19.8133" Properties=species:S:1:pos:R:3 pbc="T T T"
Pm 1.9245 4.4480 14.8600
Pm 1.9245 -4.4480 4.9533
Ho 1.9245 5.2261 2.5124
Ho 1.9245 5.2261 7.3943
Ho 1.9245 1.7743 0.7823
Ho 1.9245 1.7743 9.1243
Ho 1.9245 -1.7743 10.6890
Ho 1.9245 -1.7743 19.0310
Ho 1.9245 -5.2261 12.4191
Ho 1.9245 -5.2261 17.3009
S 0.0000 0.0000 0.0000
S 0.0000 0.0000 9.9067
S 1.9245 4.0172 4.9533
S 1.9245 2.9644 11.6632
S 1.9245 2.9644 18.0567
S 1.9245 0.6129 3.2737
S 1.9245 0.6129 6.6329
S 1.9245 -0.6129 13.1804
S 1.9245 -0.6129 16.5396
S 1.9245 -2.9644 1.7566
S 1.9245 -2.9644 8.1501
S 1.9245 -4.0172 14.8600
```

## Properties
The calculation puts the raw total energy at -6.39 eV/atom. For the uncorrected formation energy, the calculation gives -2.04 eV/atom. The space-group type is Cmcm, No. 63.


Material: Pm3Ho2S8
Method: DFT, PBE
State: optimized geometry

```
13
Lattice="6.9277 -4.0306 0.0000 6.9277 4.0306 0.0000 -2.4149 0.0000 6.3852" Properties=species:S:1:pos:R:3 pbc="T T T"
Pm 0.0000 0.0000 0.0000
Pm 5.7203 1.9027 3.1926
Pm 5.7203 -1.9027 3.1926
Ho 1.5949 0.0000 5.3942
Ho 9.8456 0.0000 0.9910
S 4.9472 2.1468 0.5240
S 0.6163 0.0000 2.7920
S 6.4933 2.1468 5.8612
S 3.8293 0.0000 3.8933
S 7.6112 0.0000 2.4918
S 4.9472 -2.1468 0.5240
S 10.8242 0.0000 3.5931
S 6.4933 -2.1468 5.8612
```

## Properties
The calculation puts the raw total energy at -6.16 eV/atom. For the uncorrected formation energy, the calculation gives -1.82 eV/atom. The space-group type is C2/m, No. 12.


What did the third record say?
Material: PmHo4S6
Method: DFT, PBE
State: optimized geometry

```
22
Lattice="1.9245 -6.4057 0.0000 1.9245 6.4057 0.0000 0.0000 0.0000 19.8133" Properties=species:S:1:pos:R:3 pbc="T T T"
Pm 1.9245 4.4480 14.8600
Pm 1.9245 -4.4480 4.9533
Ho 1.9245 5.2261 2.5124
Ho 1.9245 5.2261 7.3943
Ho 1.9245 1.7743 0.7823
Ho 1.9245 1.7743 9.1243
Ho 1.9245 -1.7743 10.6890
Ho 1.9245 -1.7743 19.0310
Ho 1.9245 -5.2261 12.4191
Ho 1.9245 -5.2261 17.3009
S 0.0000 0.0000 0.0000
S 0.0000 0.0000 9.9067
S 1.9245 4.0172 4.9533
S 1.9245 2.9644 11.6632
S 1.9245 2.9644 18.0567
S 1.9245 0.6129 3.2737
S 1.9245 0.6129 6.6329
S 1.9245 -0.6129 13.1804
S 1.9245 -0.6129 16.5396
S 1.9245 -2.9644 1.7566
S 1.9245 -2.9644 8.1501
S 1.9245 -4.0172 14.8600
```

## Properties
The calculation puts the raw total energy at -6.39 eV/atom. For the uncorrected formation energy, the calculation gives -2.04 eV/atom. The space-group type is Cmcm, No. 63.